Entry 1:
The following is a DFT calculation (PBE-GGA) of a geometry-optimized VSi3Cl structure.

- E above lowest polymorph (meV/atom) = 851.5
- DOS(E_F) (states/eV/f.u.) = 5.47
- ΔE_f (raw) (meV/atom) = 1302
- space-group type = Pm-3m (221)

Unit cell a=4.5828 b=4.5828 c=4.5828 alpha=90.00 beta=90.00 gamma=90.00
Fractional positions:
V (0.0000, 0.0000, 0.0000)
Si (0.0000, 0.5000, 0.5000)
Si (0.5000, 0.0000, 0.5000)
Si (0.5000, 0.5000, 0.0000)
Cl (0.5000, 0.5000, 0.5000)

Entry 2:
The following is a DFT calculation (PBE-GGA) of a geometry-optimized YGe3I structure.

- E above lowest polymorph (meV/atom) = 149.1
- DOS(E_F) (states/eV/f.u.) = 5.61
- ΔE_f (raw) (meV/atom) = 823
- space-group type = Pm-3m (221)

Unit cell a=5.3620 b=5.3620 c=5.3620 alpha=90.00 beta=90.00 gamma=90.00
Fractional positions:
Y (0.0000, 0.0000, 0.0000)
Ge (0.0000, 0.5000, 0.5000)
Ge (0.5000, 0.0000, 0.5000)
Ge (0.5000, 0.5000, 0.0000)
I (0.5000, 0.5000, 0.5000)

Entry 3:
The following is a DFT calculation (PBE-GGA) of a geometry-optimized NdHoTh structure.

- E above lowest polymorph (meV/atom) = 0.0
- DOS(E_F) (states/eV/f.u.) = 4.43
- E_form (kJ per mole of atoms) = 2.50
- space-group type = R-3m (166)

Unit cell a=17.7291 b=17.7291 c=17.7291 alpha=11.64 beta=11.64 gamma=11.64
Fractional positions:
Nd (0.1958, 0.1958, 0.1958)
Nd (0.8042, 0.8042, 0.8042)
Ho (0.0813, 0.0813, 0.0813)
Ho (0.9187, 0.9187, 0.9187)
Th (0.3603, 0.3603, 0.3603)
Th (0.6397, 0.6397, 0.6397)

Entry 4:
The following is a DFT calculation (PBE-GGA) of a geometry-optimized Li5Mg2Pd structure.

- E above lowest polymorph (meV/atom) = 7.5
- DOS(E_F) (states/eV/f.u.) = 2.97
- E_form (kJ per mole of atoms) = -18.55
- space-group type = Pbam (55)

Unit cell a=7.5710 b=12.5929 c=3.1191 alpha=90.00 beta=90.00 gamma=90.00
Fractional positions:
Li (0.0000, 0.0000, 0.0000)
Li (0.0020, 0.2356, 0.0000)
Li (0.2140, 0.3814, 0.5000)
Li (0.2860, 0.8814, 0.5000)
Li (0.4980, 0.7356, 0.0000)
Li (0.5000, 0.5000, 0.0000)
Li (0.5020, 0.2644, 0.0000)
Li (0.7140, 0.1186, 0.5000)
Li (0.7860, 0.6186, 0.5000)
Li (0.9980, 0.7644, 0.0000)
Mg (0.2187, 0.6169, 0.5000)
Mg (0.2813, 0.1169, 0.5000)
Mg (0.7187, 0.8831, 0.5000)
Mg (0.7813, 0.3831, 0.5000)
Pd (0.0000, 0.5000, 0.0000)
Pd (0.5000, 0.0000, 0.0000)

Entry 5:
The following is a DFT calculation (PBE-GGA) of a geometry-optimized Pu2ZrNpP4 structure.

- DOS(E_F) (states/eV/f.u.) = 24.66
- E_form (kJ per mole of atoms) = -112.26
- space-group type = P2/m (10)

Unit cell a=6.7876 b=3.9093 c=6.7919 alpha=90.00 beta=109.20 gamma=90.00
Fractional positions:
Pu (0.0000, 0.0000, 0.0000)
Pu (0.0000, 0.5000, 0.5000)
Zr (0.5000, 0.0000, 0.5000)
Np (0.5000, 0.5000, 0.0000)
P (0.2579, 0.0000, 0.7458)
P (0.2605, 0.5000, 0.2584)
P (0.7395, 0.5000, 0.7416)
P (0.7421, 0.0000, 0.2542)

Entry 6:
The following is a DFT calculation (PBE-GGA) of a geometry-optimized YZrFeNi structure.

- DOS(E_F) (states/eV/f.u.) = 2.99
- E_form (kJ per mole of atoms) = -11.68
- space-group type = F-43m (216)

Unit cell a=4.6279 b=4.6279 c=4.6279 alpha=60.00 beta=60.00 gamma=60.00
Fractional positions:
Y (0.0000, 0.0000, 0.0000)
Zr (0.5000, 0.5000, 0.5000)
Fe (0.7500, 0.7500, 0.7500)
Ni (0.2500, 0.2500, 0.2500)

Entry 7:
The following is a DFT calculation (PBE-GGA) of a geometry-optimized CsKTe2Pb structure.

- ΔE_f (raw) (meV/atom) = -748
- space-group type = C2/m (12)

Unit cell a=9.9150 b=9.9150 c=11.7791 alpha=99.53 beta=99.53 gamma=29.51
Fractional positions:
Cs (0.1185, 0.1185, 0.1242)
Cs (0.8815, 0.8815, 0.8758)
K (0.1680, 0.1680, 0.5676)
K (0.8320, 0.8320, 0.4324)
Te (0.0640, 0.0640, 0.7937)
Te (0.3522, 0.3522, 0.6416)
Te (0.6478, 0.6478, 0.3584)
Te (0.9360, 0.9360, 0.2063)
Pb (0.4928, 0.4928, 0.3498)
Pb (0.5072, 0.5072, 0.6502)